Record 1
First-principles (GGA-PBE) data for a relaxed structure of PmTlPb2O4, as listed in the Alexandria database.

```
PmTlPb2O4
1.0
4.0477 0.0000 0.0000
0.0000 4.0477 0.0000
0.0000 0.0000 9.6473
Pm Tl Pb O
1 1 2 4
Cartesian
0.0000 0.0000 0.0000 Pm
0.0000 0.0000 4.8237 Tl
2.0239 2.0239 2.4772 Pb
2.0239 2.0239 7.1701 Pb
0.0000 2.0239 1.4290 O
2.0239 0.0000 8.2183 O
2.0239 0.0000 1.4290 O
0.0000 2.0239 8.2183 O
```

Values from the calculation:
Symmetry: P4/mmm
Crystal system: tetragonal
Formation energy without anion corrections: -1.6063 eV/atom
Fermi-level density of states: 2.402 states/eV/cell


Record 2
First-principles (GGA-PBE) data for a relaxed structure of PmTmPb2O8, as listed in the Alexandria database.

```
PmTmPb2O8
1.0
-3.6956 -3.1347 2.8176
3.4020 -0.0060 4.4553
-2.2165 5.9840 -1.8259
Pm Tm Pb O
1 1 2 8
Cartesian
0.0000 0.0000 0.0000 Pm
-3.0295 0.6394 2.3141 Tm
-0.1468 -1.5704 3.6365 Pb
0.5193 2.2038 3.1329 Pb
-0.4756 -1.3004 5.7292 O
-0.7782 -0.0473 2.2793 O
-1.6074 2.2461 3.2470 O
-1.6597 3.8553 -0.7441 O
-2.8046 -1.1022 3.8601 O
1.0514 0.6873 4.5311 O
-0.2402 4.3342 1.5955 O
-3.5264 2.6999 1.2901 O
```

Values from the calculation:
Symmetry: I-4
Crystal system: tetragonal
Formation energy without anion corrections: -1.7542 eV/atom
Fermi-level density of states: 2.662 states/eV/cell


Record 3
First-principles (GGA-PBE) data for a relaxed structure of PmTmPbO2, as listed in the Alexandria database.

```
PmTmPbO2
1.0
3.8712 0.0000 0.0000
0.0000 3.8712 0.0000
-1.9356 -1.9356 7.1436
Pm Tm Pb O
1 1 1 2
Cartesian
1.9356 1.9356 4.7495 Pm
0.0000 0.0000 2.4705 Tm
1.9356 1.9356 0.0549 Pb
1.9356 0.0000 3.5061 O
0.0000 1.9356 3.5061 O
```

Values from the calculation:
Symmetry: I4mm
Crystal system: tetragonal
Formation energy without anion corrections: -2.5244 eV/atom
Fermi-level density of states: 2.107 states/eV/cell


Record 4
First-principles (GGA-PBE) data for a relaxed structure of PmUPb2O8, as listed in the Alexandria database.

```
PmUPb2O8
1.0
5.2186 -0.0190 -0.0032
0.0199 5.2167 -0.0059
0.0043 0.0080 7.0571
Pm U Pb O
1 1 2 8
Cartesian
0.0022 0.0040 3.5285 Pm
0.0000 0.0000 0.0000 U
2.6225 2.6048 5.2921 Pb
2.6203 2.6008 1.7559 Pb
0.9636 4.2685 1.5579 O
3.6844 3.6597 7.0507 O
4.2768 0.9327 1.5596 O
4.2792 0.9371 5.4901 O
1.5585 1.5459 -0.0027 O
0.9660 4.2730 5.4884 O
3.5964 3.5696 3.5223 O
1.6464 1.6360 3.5257 O
```

Values from the calculation:
Symmetry: Cmmm
Crystal system: orthorhombic
Formation energy without anion corrections: -2.1479 eV/atom
Fermi-level density of states: 2.741 states/eV/cell